A geometry-optimized Ge3BiRh structure. Source: Alexandria via LeMat-Bulk, functional PBEsol.

```
data_Ge3BiRh
_chemical_formula_sum 'Ge3 Bi1 Rh1'
_space_group_name_H-M_alt 'P m -3 m'
_space_group_IT_number 221
_space_group_name_Hall '-P 4 2 3'
_cell_length_a 5.242
_cell_length_b 5.242
_cell_length_c 5.242
_cell_angle_alpha 90.00
_cell_angle_beta 90.00
_cell_angle_gamma 90.00
loop_
_atom_site_label
_atom_site_type_symbol
_atom_site_fract_x
_atom_site_fract_y
_atom_site_fract_z
Ge1 Ge 0.000 0.000 0.500
Bi1 Bi 0.000 0.000 0.000
Rh1 Rh 0.500 0.500 0.500
```

Formation energy   8.7 eV per formula unit

***

A geometry-optimized GeBi3Rh structure. Source: Alexandria via LeMat-Bulk, functional PBEsol.

```
data_GeBi3Rh
_chemical_formula_sum 'Ge1 Bi3 Rh1'
_space_group_name_H-M_alt 'P m -3 m'
_space_group_IT_number 221
_space_group_name_Hall '-P 4 2 3'
_cell_length_a 5.279
_cell_length_b 5.279
_cell_length_c 5.279
_cell_angle_alpha 90.00
_cell_angle_beta 90.00
_cell_angle_gamma 90.00
loop_
_atom_site_label
_atom_site_type_symbol
_atom_site_fract_x
_atom_site_fract_y
_atom_site_fract_z
Ge1 Ge 0.000 0.000 0.000
Bi1 Bi 0.000 0.000 0.500
Rh1 Rh 0.500 0.500 0.500
```

Formation energy   5.7 eV per formula unit

***

A geometry-optimized GeBiRu2 structure. Source: Alexandria via LeMat-Bulk, functional PBEsol.

```
data_GeBiRu2
_chemical_formula_sum 'Ge4 Bi4 Ru8'
_space_group_name_H-M_alt 'F m -3 m'
_space_group_IT_number 225
_space_group_name_Hall '-F 4 2 3'
_cell_length_a 6.364
_cell_length_b 6.364
_cell_length_c 6.364
_cell_angle_alpha 90.00
_cell_angle_beta 90.00
_cell_angle_gamma 90.00
loop_
_atom_site_label
_atom_site_type_symbol
_atom_site_fract_x
_atom_site_fract_y
_atom_site_fract_z
Ge1 Ge 0.000 0.000 0.000
Bi1 Bi 0.000 0.000 0.500
Ru1 Ru 0.250 0.250 0.250
```

Formation energy   1.1 eV per formula unit

***

A geometry-optimized GeBi3Ru structure. Source: Alexandria via LeMat-Bulk, functional PBEsol.

```
data_GeBi3Ru
_chemical_formula_sum 'Ge1 Bi3 Ru1'
_space_group_name_H-M_alt 'P m -3 m'
_space_group_IT_number 221
_space_group_name_Hall '-P 4 2 3'
_cell_length_a 5.291
_cell_length_b 5.291
_cell_length_c 5.291
_cell_angle_alpha 90.00
_cell_angle_beta 90.00
_cell_angle_gamma 90.00
loop_
_atom_site_label
_atom_site_type_symbol
_atom_site_fract_x
_atom_site_fract_y
_atom_site_fract_z
Ge1 Ge 0.000 0.000 0.000
Bi1 Bi 0.000 0.000 0.500
Ru1 Ru 0.500 0.500 0.500
```

Formation energy   7.2 eV per formula unit

***

A geometry-optimized Ge2BiTeS structure. Source: Alexandria via LeMat-Bulk, functional PBEsol.

```
data_Ge2BiTeS
_chemical_formula_sum 'Ge2 Bi1 Te1 S1'
_space_group_name_H-M_alt 'P 4/m m m'
_space_group_IT_number 123
_space_group_name_Hall '-P 4 2'
_cell_length_a 4.923
_cell_length_b 4.923
_cell_length_c 5.260
_cell_angle_alpha 90.00
_cell_angle_beta 90.00
_cell_angle_gamma 90.00
loop_
_atom_site_label
_atom_site_type_symbol
_atom_site_fract_x
_atom_site_fract_y
_atom_site_fract_z
Ge1 Ge 0.000 0.500 0.000
Bi1 Bi 0.000 0.000 0.500
Te1 Te 0.500 0.500 0.500
S1 S 0.500 0.500 0.000
```

ΔE_f (raw)   0.385 eV per atom

***

A geometry-optimized Sc2GeBi structure. Source: Alexandria via LeMat-Bulk, functional PBEsol.

```
data_Sc2GeBi
_chemical_formula_sum 'Sc8 Ge4 Bi4'
_space_group_name_H-M_alt 'F m -3 m'
_space_group_IT_number 225
_space_group_name_Hall '-F 4 2 3'
_cell_length_a 7.047
_cell_length_b 7.047
_cell_length_c 7.047
_cell_angle_alpha 90.00
_cell_angle_beta 90.00
_cell_angle_gamma 90.00
loop_
_atom_site_label
_atom_site_type_symbol
_atom_site_fract_x
_atom_site_fract_y
_atom_site_fract_z
Sc1 Sc 0.250 0.250 0.250
Ge1 Ge 0.000 0.000 0.000
Bi1 Bi 0.000 0.000 0.500
```

Formation energy   -1.8 eV per formula unit

***

A geometry-optimized SiGeBi2 structure. Source: Alexandria via LeMat-Bulk, functional PBEsol.

```
data_SiGeBi2
_chemical_formula_sum 'Si4 Ge4 Bi8'
_space_group_name_H-M_alt 'I -4 2 d'
_space_group_IT_number 122
_space_group_name_Hall 'I -4 2bw'
_cell_length_a 8.009
_cell_length_b 8.009
_cell_length_c 6.267
_cell_angle_alpha 90.00
_cell_angle_beta 90.00
_cell_angle_gamma 90.00
loop_
_atom_site_label
_atom_site_type_symbol
_atom_site_fract_x
_atom_site_fract_y
_atom_site_fract_z
Si1 Si 0.000 0.000 0.000
Ge1 Ge 0.000 0.000 0.500
Bi1 Bi 0.241 0.250 0.125
```

ΔE_f (raw)   0.338 eV per atom

***

A geometry-optimized Si2GeBi2 structure. Source: Alexandria via LeMat-Bulk, functional PBEsol.

```
data_Si2GeBi2
_chemical_formula_sum 'Si4 Ge2 Bi4'
_space_group_name_H-M_alt 'I 4/m m m'
_space_group_IT_number 139
_space_group_name_Hall '-I 4 2'
_cell_length_a 3.518
_cell_length_b 3.518
_cell_length_c 18.212
_cell_angle_alpha 90.00
_cell_angle_beta 90.00
_cell_angle_gamma 90.00
loop_
_atom_site_label
_atom_site_type_symbol
_atom_site_fract_x
_atom_site_fract_y
_atom_site_fract_z
Si1 Si 0.000 0.500 0.250
Ge1 Ge 0.000 0.000 0.000
Bi1 Bi 0.000 0.000 0.396
```

ΔE_f (raw)   0.293 eV per atom

***

A geometry-optimized SnGe3Bi structure. Source: Alexandria via LeMat-Bulk, functional PBEsol.

```
data_SnGe3Bi
_chemical_formula_sum 'Sn1 Ge3 Bi1'
_space_group_name_H-M_alt 'P m -3 m'
_space_group_IT_number 221
_space_group_name_Hall '-P 4 2 3'
_cell_length_a 5.196
_cell_length_b 5.196
_cell_length_c 5.196
_cell_angle_alpha 90.00
_cell_angle_beta 90.00
_cell_angle_gamma 90.00
loop_
_atom_site_label
_atom_site_type_symbol
_atom_site_fract_x
_atom_site_fract_y
_atom_site_fract_z
Sn1 Sn 0.000 0.000 0.000
Ge1 Ge 0.000 0.000 0.500
Bi1 Bi 0.500 0.500 0.500
```

Formation energy   3.9 eV per formula unit

***

A geometry-optimized SnGe2Bi2 structure. Source: Alexandria via LeMat-Bulk, functional PBEsol.

```
data_SnGe2Bi2
_chemical_formula_sum 'Sn2 Ge4 Bi4'
_space_group_name_H-M_alt 'I 4/m m m'
_space_group_IT_number 139
_space_group_name_Hall '-I 4 2'
_cell_length_a 5.557
_cell_length_b 5.557
_cell_length_c 8.645
_cell_angle_alpha 90.00
_cell_angle_beta 90.00
_cell_angle_gamma 90.00
loop_
_atom_site_label
_atom_site_type_symbol
_atom_site_fract_x
_atom_site_fract_y
_atom_site_fract_z
Sn1 Sn 0.000 0.000 0.000
Ge1 Ge 0.000 0.000 0.356
Bi1 Bi 0.000 0.500 0.250
```

Formation energy   1.1 eV per formula unit

***

A geometry-optimized Sr2Ge2Bi structure. Source: Alexandria via LeMat-Bulk, functional PBEsol.

```
data_Sr2Ge2Bi
_chemical_formula_sum 'Sr4 Ge4 Bi2'
_space_group_name_H-M_alt 'P 4/m b m'
_space_group_IT_number 127
_space_group_name_Hall '-P 4 2ab'
_cell_length_a 7.795
_cell_length_b 7.795
_cell_length_c 4.599
_cell_angle_alpha 90.00
_cell_angle_beta 90.00
_cell_angle_gamma 90.00
loop_
_atom_site_label
_atom_site_type_symbol
_atom_site_fract_x
_atom_site_fract_y
_atom_site_fract_z
Sr1 Sr 0.179 0.321 0.000
Ge1 Ge 0.114 0.614 0.500
Bi1 Bi 0.000 0.000 0.500
```

Formation energy   -3.2 eV per formula unit

***

A geometry-optimized SrGeBi3 structure. Source: Alexandria via LeMat-Bulk, functional PBEsol.

```
data_SrGeBi3
_chemical_formula_sum 'Sr1 Ge1 Bi3'
_space_group_name_H-M_alt 'P m -3 m'
_space_group_IT_number 221
_space_group_name_Hall '-P 4 2 3'
_cell_length_a 5.903
_cell_length_b 5.903
_cell_length_c 5.903
_cell_angle_alpha 90.00
_cell_angle_beta 90.00
_cell_angle_gamma 90.00
loop_
_atom_site_label
_atom_site_type_symbol
_atom_site_fract_x
_atom_site_fract_y
_atom_site_fract_z
Sr1 Sr 0.000 0.000 0.000
Ge1 Ge 0.500 0.500 0.500
Bi1 Bi 0.000 0.000 0.500
```

Formation energy   5.1 eV per formula unit

***

no.,total magnetization (μB per formula unit)
1,0.0
2,0.0
3,0.0
4,1.6
5,0.0
6,0.0
7,0.0
8,0.0
9,0.0
10,0.0
11,0.0
12,0.0